Compound: Re3TeAs
Source: Alexandria
Functional: SCAN
Structure: PBEsol geometry

For the spin magnetization, the calculation gives 1.39 μB per formula unit. The raw formation energy comes out at 1.77 eV/atom.

It has space group Pm-3m (No. 221), with a = 4.566 Å, b = 4.566 Å, c = 4.566 Å, α = 90.00°, β = 90.00° and γ = 90.00°. The asymmetric unit holds Re at (0.000, 0.000, 0.500), Te at (0.500, 0.500, 0.500) and As at (0.000, 0.000, 0.000).

Compound: ScNbPb2O6
Source: Alexandria
Functional: SCAN
Structure: PBEsol geometry

For the spin magnetization, the calculation gives 0.00 μB per formula unit. The raw formation energy comes out at -2.40 eV/atom.

It has space group Fm-3m (No. 225), with a = 8.128 Å, b = 8.128 Å, c = 8.128 Å, α = 90.00°, β = 90.00° and γ = 90.00°. The asymmetric unit holds Sc at (0.000, 0.000, 0.000), Nb at (0.000, 0.000, 0.500), Pb at (0.250, 0.250, 0.250) and O at (0.000, 0.000, 0.255).

Compound: CaMg2Cr2
Source: Alexandria
Functional: SCAN
Structure: PBEsol geometry

The value obtained for the formation energy is 677 meV/atom. For the spin magnetization, the calculation gives 0.00 μB per formula unit.

It has space group I4/mmm (No. 139), with a = 4.399 Å, b = 4.399 Å, c = 11.129 Å, α = 90.00°, β = 90.00° and γ = 90.00°. The asymmetric unit holds Ca at (0.000, 0.000, 0.000), Mg at (0.000, 0.500, 0.250) and Cr at (0.000, 0.000, 0.421).

Compound: Ir2Se
Source: Alexandria
Functional: SCAN
Structure: PBEsol geometry

For the spin magnetization, the calculation gives 0.00 μB per formula unit. The raw formation energy comes out at 0.53 eV/atom. As for the excess energy over the best structure of this formula in the dataset: 0.0657 eV per atom.

It has space group I4/mcm (No. 140), with a = 5.098 Å, b = 5.098 Å, c = 7.663 Å, α = 90.00°, β = 90.00° and γ = 90.00°. The asymmetric unit holds Ir at (0.181, 0.319, 0.000) and Se at (0.000, 0.000, 0.250).

Compound: TlRe2Sb
Source: Alexandria
Functional: SCAN
Structure: PBEsol geometry

For the spin magnetization, the calculation gives 0.00 μB per formula unit. The raw formation energy comes out at 1.07 eV/atom. As for the excess energy over the best structure of this formula in the dataset: 0.5109 eV per atom.

It has space group P4/mmm (No. 123), with a = 3.241 Å, b = 3.241 Å, c = 6.669 Å, α = 90.00°, β = 90.00° and γ = 90.00°. The asymmetric unit holds Tl at (0.000, 0.000, 0.000), Re at (0.500, 0.500, 0.271) and Sb at (0.000, 0.000, 0.500).

Compound: NiAg2SbS
Source: Alexandria
Functional: SCAN
Structure: PBEsol geometry

For the spin magnetization, the calculation gives 1.47 μB per formula unit. The raw formation energy comes out at 1.04 eV/atom.

It has space group P4/mmm (No. 123), with a = 5.042 Å, b = 5.042 Å, c = 5.151 Å, α = 90.00°, β = 90.00° and γ = 90.00°. The asymmetric unit holds Ni at (0.000, 0.000, 0.000), Ag at (0.000, 0.500, 0.500), Sb at (0.500, 0.500, 0.500) and S at (0.500, 0.500, 0.000).

Compound: NiB2Sb
Source: Alexandria
Functional: SCAN
Structure: PBEsol geometry

For the spin magnetization, the calculation gives 0.00 μB per formula unit. The raw formation energy comes out at 0.41 eV/atom.

It has space group I-42d (No. 122), with a = 3.714 Å, b = 3.714 Å, c = 14.043 Å, α = 90.00°, β = 90.00° and γ = 90.00°. The asymmetric unit holds Ni at (0.000, 0.000, 0.000), B at (0.048, 0.250, 0.125) and Sb at (0.000, 0.000, 0.500).

Compound: AlCrHRh2
Source: Alexandria
Functional: SCAN
Structure: PBEsol geometry

For the spin magnetization, the calculation gives 1.91 μB per formula unit. Its energy is -19.19 eV per atom.

It has space group P4/mmm (No. 123), with a = 4.559 Å, b = 4.559 Å, c = 3.005 Å, α = 90.00°, β = 90.00° and γ = 90.00°. The asymmetric unit holds Al at (0.000, 0.000, 0.000), Cr at (0.500, 0.500, 0.500), H at (0.500, 0.500, 0.000) and Rh at (0.000, 0.500, 0.500).